Density functional theory data (PBE) for a relaxed structure of CrBi3Cl.

Computed properties:
The symmetry is Pm-3m (221). For the formation energy without anion corrections, the calculation gives 240 meV per atom. Its density of states at the Fermi level is 6.3 states/eV per cell. Its distance to the lowest polymorph of the same formula is 0.000 eV per atom. The electronic total energy comes out at -4.38 eV/atom.

a b c (Å): 5.209 5.209 5.209
angles (deg): 90.00 90.00 90.00
Element x y z (fractional)
1 Cl 0.500 0.500 0.500
2 Bi 0.500 0.000 0.000
3 Bi 0.000 0.500 0.000
4 Bi 0.000 0.000 0.500
5 Cr 0.000 0.000 0.000

---

Density functional theory data (PBE) for a relaxed structure of PmBi2.

Computed properties:
The symmetry is Pnma (62). Its density of states at the Fermi level is 8.2 states/eV per cell. Its distance to the lowest polymorph of the same formula is 0.000 eV per atom. The electronic total energy comes out at -4.78 eV/atom. As for the energy relative to the elements: -612 meV/atom.

a b c (Å): 4.522 7.666 10.967
angles (deg): 90.00 90.00 90.00
Element x y z (fractional)
1 Bi 0.250 0.130 0.559
2 Bi 0.750 0.888 0.809
3 Bi 0.750 0.370 0.059
4 Bi 0.750 0.388 0.691
5 Bi 0.250 0.112 0.191
6 Bi 0.250 0.630 0.941
7 Bi 0.250 0.612 0.309
8 Bi 0.750 0.870 0.441
9 Pm 0.250 0.691 0.635
10 Pm 0.750 0.309 0.365
11 Pm 0.750 0.809 0.135
12 Pm 0.250 0.191 0.865

---

Density functional theory data (PBE) for a relaxed structure of SmPa2Ni9.

Computed properties:
The symmetry is R-3m (166). Its density of states at the Fermi level is 12.4 states/eV per cell. The electronic total energy comes out at -6.71 eV/atom. As for the energy relative to the elements: -397 meV/atom.

a b c (Å): 4.934 4.934 8.696
angles (deg): 73.52 73.52 60.00
Element x y z (fractional)
1 Ni 0.416 0.416 0.250
2 Ni 0.918 0.416 0.250
3 Ni 0.500 0.500 0.500
4 Ni 0.584 0.584 0.750
5 Ni 0.333 0.333 0.001
6 Ni 0.667 0.667 0.999
7 Ni 0.584 0.082 0.750
8 Ni 0.416 0.918 0.250
9 Ni 0.082 0.584 0.750
10 Pa 0.861 0.861 0.418
11 Pa 0.139 0.139 0.582
12 Sm 0.000 0.000 0.000

---

Density functional theory data (PBE) for a relaxed structure of Zr2ScAl3.

Computed properties:
The symmetry is C2/c (15). Its density of states at the Fermi level is 10.4 states/eV per cell. Its distance to the lowest polymorph of the same formula is 0.039 eV per atom. The electronic total energy comes out at -6.18 eV/atom. As for the energy relative to the elements: -399 meV/atom.

a b c (Å): 5.783 5.653 7.932
angles (deg): 101.16 111.38 90.00
Element x y z (fractional)
1 Al 0.043 0.539 0.329
2 Al 0.629 0.250 0.000
3 Al 0.713 0.961 0.671
4 Al 0.371 0.750 0.000
5 Al 0.287 0.039 0.329
6 Al 0.957 0.461 0.671
7 Zr 0.550 0.588 0.340
8 Zr 0.790 0.088 0.340
9 Zr 0.450 0.412 0.660
10 Zr 0.210 0.912 0.660
11 Sc 0.134 0.250 0.000
12 Sc 0.866 0.750 0.000

---

Density functional theory data (PBE) for a relaxed structure of Sn3Pb5.

Computed properties:
The symmetry is Fmmm (69). Its density of states at the Fermi level is 2.4 states/eV per cell. Its distance to the lowest polymorph of the same formula is 0.000 eV per atom. The electronic total energy comes out at -3.80 eV/atom. As for the energy relative to the elements: 18 meV/atom.

a b c (Å): 6.034 6.034 7.833
angles (deg): 105.07 105.07 108.96
Element x y z (fractional)
1 Pb 0.127 0.627 0.253
2 Pb 0.873 0.373 0.747
3 Pb 0.000 0.000 0.000
4 Pb 0.627 0.127 0.253
5 Pb 0.373 0.873 0.747
6 Sn 0.253 0.253 0.505
7 Sn 0.500 0.500 0.000
8 Sn 0.747 0.747 0.495

---

Density functional theory data (PBE) for a relaxed structure of Ca2YHfCr.

Computed properties:
The symmetry is P4/mmm (123). Its density of states at the Fermi level is 5.8 states/eV per cell. The electronic total energy comes out at -5.06 eV/atom. As for the energy relative to the elements: 951 meV/atom.

a b c (Å): 5.420 5.326 5.420
angles (deg): 90.00 90.00 90.00
Element x y z (fractional)
1 Ca 0.000 0.000 0.500
2 Ca 0.500 0.000 0.000
3 Y 0.000 0.500 0.000
4 Hf 0.500 0.500 0.500
5 Cr 0.000 0.000 0.000

---

Density functional theory data (PBE) for a relaxed structure of KNiBi3.

Computed properties:
The symmetry is Pm-3m (221). Its density of states at the Fermi level is 7.0 states/eV per cell. The electronic total energy comes out at -3.66 eV/atom. As for the energy relative to the elements: 45 meV/atom.

a b c (Å): 5.357 5.357 5.357
angles (deg): 90.00 90.00 90.00
Element x y z (fractional)
1 Bi 0.000 0.500 0.000
2 Bi 0.000 0.000 0.500
3 Bi 0.500 0.000 0.000
4 K 0.500 0.500 0.500
5 Ni 0.000 0.000 0.000

---

Density functional theory data (PBE) for a relaxed structure of PrTmZnCd.

Computed properties:
The symmetry is P4mm (99). Its density of states at the Fermi level is 3.8 states/eV per cell. Its distance to the lowest polymorph of the same formula is 0.000 eV per atom. The electronic total energy comes out at -3.18 eV/atom. As for the energy relative to the elements: -320 meV/atom.

a b c (Å): 3.621 3.621 7.732
angles (deg): 90.00 90.00 90.00
Element x y z (fractional)
1 Zn 0.000 0.000 0.381
2 Cd 0.000 0.000 0.834
3 Tm 0.500 0.500 0.587
4 Pr 0.500 0.500 0.126

---

Density functional theory data (PBE) for a relaxed structure of FeCu2W.

Computed properties:
The symmetry is Pmm2 (25). Its density of states at the Fermi level is 2.5 states/eV per cell. Its distance to the lowest polymorph of the same formula is 0.052 eV per atom. The electronic total energy comes out at -7.14 eV/atom. As for the energy relative to the elements: 258 meV/atom.

a b c (Å): 2.591 3.696 5.433
angles (deg): 90.00 90.00 90.00
Element x y z (fractional)
1 Cu 0.500 0.500 0.245
2 Cu 0.000 0.000 0.018
3 W 0.500 0.500 0.741
4 Fe 0.000 0.000 0.496

---

Density functional theory data (PBE) for a relaxed structure of TaNi2Te6.

Computed properties:
The symmetry is C2/c (15). For the formation energy without anion corrections, the calculation gives -126 meV per atom. Its density of states at the Fermi level is 11.0 states/eV per cell. The electronic total energy comes out at -4.82 eV/atom.

a b c (Å): 6.409 8.972 8.972
angles (deg): 94.01 75.14 75.14
Element x y z (fractional)
1 Ta 0.250 0.078 0.922
2 Ta 0.750 0.922 0.078
3 Te 0.852 0.923 0.354
4 Te 0.206 0.776 0.929
5 Te 0.148 0.077 0.646
6 Te 0.294 0.071 0.224
7 Te 0.794 0.224 0.071
8 Te 0.706 0.929 0.776
9 Te 0.961 0.503 0.685
10 Te 0.352 0.354 0.923
11 Te 0.539 0.315 0.497
12 Te 0.461 0.685 0.503
13 Te 0.648 0.646 0.077
14 Te 0.039 0.497 0.315
15 Ni 0.327 0.537 0.719
16 Ni 0.173 0.281 0.463
17 Ni 0.827 0.719 0.537
18 Ni 0.673 0.463 0.281

---

Density functional theory data (PBE) for a relaxed structure of CsCd2SnIr.

Computed properties:
The symmetry is P4/mmm (123). Its density of states at the Fermi level is 1.2 states/eV per cell. The electronic total energy comes out at -3.24 eV/atom. As for the energy relative to the elements: -130 meV/atom.

a b c (Å): 5.455 5.455 5.086
angles (deg): 90.00 90.00 90.00
Element x y z (fractional)
1 Cd 0.500 0.000 0.000
2 Cd 0.000 0.500 0.000
3 Sn 0.000 0.000 0.500
4 Cs 0.500 0.500 0.500
5 Ir 0.000 0.000 0.000

---

Density functional theory data (PBE) for a relaxed structure of Mg2AsCl.

Computed properties:
The symmetry is Pmm2 (25). For the formation energy without anion corrections, the calculation gives -905 meV per atom. Its density of states at the Fermi level is 0.7 states/eV per cell. Its distance to the lowest polymorph of the same formula is 0.044 eV per atom. The electronic total energy comes out at -3.33 eV/atom.

a b c (Å): 5.247 3.986 3.983
angles (deg): 90.03 90.00 90.00
Element x y z (fractional)
1 Mg 0.500 0.352 0.375
2 Mg 0.000 0.880 0.875
3 As 0.000 0.384 0.375
4 Cl 0.500 0.884 0.875

---

- Among the records above, which one has the highest electronic total energy?
  PrTmZnCd

---

- The highest electronic total energy belongs to which entry?
  PrTmZnCd

---

- What is the formula in the twelfth record?
  Mg2AsCl

---

- What is the electronic total energy in the tenth record?
  -4.82 eV/atom